Entry 1:
{
  "formula": "KSmAu10",
  "functional": "PBE",
  "state": "relaxed",
  "cell": [[-2.873, 3.021, 2.149], [-1.798, -4.113, 3.379], [7.127, 2.187, 6.455]],
  "species": ["K", "Sm", "Au", "Au", "Au", "Au", "Au", "Au", "Au", "Au", "Au", "Au"],
  "frac_coords": [[0.000, 0.000, 0.000], [0.000, 0.500, 0.500], [0.000, 0.000, 0.340], [0.000, 0.500, 0.822], [0.000, 0.500, 0.178], [0.000, 0.000, 0.660], [0.500, 0.000, 0.500], [0.500, 0.500, 0.000], [0.500, 0.254, 0.256], [0.500, 0.746, 0.744], [0.500, 0.746, 0.256], [0.500, 0.254, 0.744]]
}


Entry 2:
{
  "formula": "KSm2Te4Au",
  "functional": "PBE",
  "state": "relaxed",
  "raw_formation_energy_ev_per_atom": -1.16,
  "cell": [[4.476, 0.000, 0.000], [-2.238, 7.610, 0.000], [0.000, 0.000, 15.840]],
  "species": ["K", "K", "Sm", "Sm", "Sm", "Sm", "Te", "Te", "Te", "Te", "Te", "Te", "Te", "Te", "Au", "Au"],
  "frac_coords": [[0.127, 0.254, 0.750], [0.873, 0.746, 0.250], [0.368, 0.736, 0.572], [0.632, 0.264, 0.072], [0.632, 0.264, 0.428], [0.368, 0.736, 0.928], [0.269, 0.538, 0.110], [0.731, 0.462, 0.610], [0.731, 0.462, 0.890], [0.269, 0.538, 0.390], [0.000, 0.000, 0.500], [0.000, 0.000, 0.000], [0.454, 0.908, 0.750], [0.546, 0.092, 0.250], [0.846, 0.693, 0.750], [0.154, 0.307, 0.250]]
}


Entry 3:
{
  "formula": "K3Sn2Au4",
  "functional": "PBE",
  "state": "relaxed",
  "e_above_lowest_polymorph_ev_per_fu": 0.14,
  "cell": [[-4.249, 1.408, -1.993], [4.381, -2.074, -4.783], [-4.182, -7.593, 3.552]],
  "species": ["K", "K", "K", "Sn", "Sn", "Au", "Au", "Au", "Au"],
  "frac_coords": [[0.607, 0.214, 0.690], [0.000, 0.000, 0.000], [0.393, 0.786, 0.310], [0.683, 0.367, 0.328], [0.317, 0.633, 0.672], [0.736, 0.473, 0.068], [0.264, 0.527, 0.932], [0.871, 0.742, 0.589], [0.129, 0.258, 0.411]]
}


Entry 4:
{
  "formula": "KSnAu4",
  "functional": "PBE",
  "state": "relaxed",
  "e_above_lowest_polymorph_ev_per_fu": 0.00,
  "cell": [[-2.723, -4.668, 1.895], [2.997, -4.438, 2.031], [-0.085, -1.190, 5.602]],
  "species": ["K", "Au", "Au", "Au", "Au", "Sn"],
  "frac_coords": [[0.000, 0.000, 0.000], [0.625, 0.625, 0.125], [0.625, 0.125, 0.625], [0.625, 0.625, 0.625], [0.125, 0.625, 0.625], [0.250, 0.250, 0.250]]
}


| no. | total energy (eV/atom) |
| --- | --- |
| 1 | -3.51 |
| 2 | -4.45 |
| 3 | -3.00 |
| 4 | -3.15 |